Record 1
Compound: VTcNiP2
Source: Alexandria via LeMat-Bulk
Functional: PBE
Structure: optimized geometry

Structure (POSCAR):
```
VTcNiP2
1.0
5.9347 0.0000 -0.1074
0.0000 3.3854 0.0000
-1.1124 0.0000 6.9631
Ni Tc P V
2 2 4 2
direct
0.7834 0.0000 0.5369
0.7834 0.5000 0.0369
0.3904 0.5000 0.4466
0.3904 0.0000 0.9466
0.7439 0.5000 0.3353
0.2374 0.0000 0.6159
0.2374 0.5000 0.1159
0.7439 0.0000 0.8353
0.0342 0.0000 0.2674
0.0342 0.5000 0.7674
```

Computed properties:
ΔE_f	-0.388	eV per atom
total DFT energy (no corrections)	-7.605	eV per atom
space-group type	No. 8
crystal system	monoclinic
polymorph energy (0 for the lowest one)	16.8	kJ per mole of atoms

***

Record 2
Compound: VTcNiP2
Source: Alexandria via LeMat-Bulk
Functional: PBE
Structure: optimized geometry

Structure (POSCAR):
```
VTcNiP2
1.0
4.8367 0.0000 -0.0056
0.0000 3.5854 0.0000
-0.9632 0.0000 7.8432
P Ni Tc V
4 2 2 2
direct
0.5977 0.0000 0.7814
0.1291 0.5000 0.0418
0.1291 0.0000 0.5418
0.5977 0.5000 0.2814
0.3562 0.5000 0.6602
0.3562 0.0000 0.1602
0.6430 0.5000 0.9736
0.6430 0.0000 0.4736
0.0886 0.0000 0.8455
0.0886 0.5000 0.3455
```

Computed properties:
ΔE_f	-0.490	eV per atom
total DFT energy (no corrections)	-7.707	eV per atom
space-group type	No. 8
crystal system	monoclinic
polymorph energy (0 for the lowest one)	6.9	kJ per mole of atoms

***

Record 3
Compound: VTcNiP2
Source: Alexandria via LeMat-Bulk
Functional: PBE
Structure: optimized geometry

Structure (POSCAR):
```
VTcNiP2
1.0
3.0536 0.0004 -0.0009
1.5099 4.0041 0.0014
1.5090 -0.4102 5.4532
P Tc Ni V
2 1 1 1
direct
0.3685 0.8124 0.5343
0.7761 0.4726 0.0441
0.9757 0.9173 0.2086
0.6332 0.9956 0.8258
0.0612 0.3824 0.5764
```

Computed properties:
ΔE_f	-0.322	eV per atom
total DFT energy (no corrections)	-7.539	eV per atom
space-group type	No. 1
crystal system	triclinic
polymorph energy (0 for the lowest one)	23.1	kJ per mole of atoms

***

Record 4
Compound: VTcNiP2
Source: Alexandria via LeMat-Bulk
Functional: PBE
Structure: optimized geometry

Structure (POSCAR):
```
VTcNiP2
1.0
-1.7225 -5.8005 -2.7346
1.5151 -1.5100 2.2486
-4.5030 2.9633 5.0242
Ni V P Tc
2 2 4 2
direct
0.2639 0.0000 0.6268
0.2639 0.5000 0.1268
0.9624 0.0000 0.7945
0.9624 0.5000 0.2945
0.7525 0.0000 0.4148
0.2592 0.5000 0.8281
0.2592 0.0000 0.3281
0.7525 0.5000 0.9148
0.5766 0.0000 0.0462
0.5766 0.5000 0.5462
```

Computed properties:
ΔE_f	-0.397	eV per atom
total DFT energy (no corrections)	-7.615	eV per atom
space-group type	No. 8
crystal system	monoclinic
polymorph energy (0 for the lowest one)	15.8	kJ per mole of atoms

***

Record 5
Compound: VTcNiP2
Source: Alexandria via LeMat-Bulk
Functional: PBE
Structure: optimized geometry

Structure (POSCAR):
```
VTcNiP2
1.0
3.1409 0.0000 0.0000
0.0000 3.1672 0.0000
0.0000 0.0000 6.6568
V P Ni Tc
1 2 1 1
direct
0.5000 0.0000 0.0050
0.0000 0.5000 0.8664
0.0000 0.0000 0.2717
0.0000 0.0000 0.6480
0.5000 0.5000 0.3943
```

Computed properties:
ΔE_f	-0.499	eV per atom
total DFT energy (no corrections)	-7.717	eV per atom
space-group type	No. 25
crystal system	orthorhombic
polymorph energy (0 for the lowest one)	6.0	kJ per mole of atoms

***

Record 6
Compound: VTcNiP2
Source: Alexandria via LeMat-Bulk
Functional: PBE
Structure: optimized geometry

Structure (POSCAR):
```
VTcNiP2
1.0
3.1615 0.0000 0.0000
0.0000 3.1683 0.0000
0.0000 0.0000 6.6019
Ni V P Tc
1 1 2 1
direct
0.0000 0.0000 0.6389
0.5000 0.0000 0.9928
0.0000 0.5000 0.8716
0.5000 0.0000 0.4130
0.0000 0.5000 0.2691
```

Computed properties:
ΔE_f	-0.559	eV per atom
total DFT energy (no corrections)	-7.776	eV per atom
space-group type	No. 25
crystal system	orthorhombic
polymorph energy (0 for the lowest one)	0.2	kJ per mole of atoms

***

Record 7
Compound: VTcNiP2
Source: Alexandria via LeMat-Bulk
Functional: PBE
Structure: optimized geometry

Structure (POSCAR):
```
VTcNiP2
1.0
3.1802 0.0000 0.0000
0.0000 3.0421 0.0000
0.0000 0.0000 13.6538
V P Tc Ni
2 4 2 2
direct
0.5000 0.5000 0.6688
0.0000 0.0000 0.1688
0.5000 0.5000 0.0982
0.0000 0.5000 0.7993
0.0000 0.0000 0.5982
0.5000 0.0000 0.2993
0.0000 0.5000 0.3640
0.5000 0.0000 0.8640
0.5000 0.0000 0.4912
0.0000 0.5000 0.9912
```

Computed properties:
ΔE_f	-0.494	eV per atom
total DFT energy (no corrections)	-7.711	eV per atom
space-group type	No. 44
crystal system	orthorhombic
polymorph energy (0 for the lowest one)	6.6	kJ per mole of atoms

***

Record 8
Compound: VTcNiP2
Source: Alexandria via LeMat-Bulk
Functional: PBE
Structure: optimized geometry

Structure (POSCAR):
```
VTcNiP2
1.0
-4.0408 -2.1472 -0.0060
1.5918 -2.9959 0.1292
-0.1583 0.2773 8.3820
P V Ni Tc
4 2 2 2
direct
0.2616 0.5000 0.7915
0.2616 0.0000 0.2915
0.6914 0.0000 0.4650
0.6914 0.5000 0.9650
0.7281 0.0000 0.1684
0.7281 0.5000 0.6684
0.9628 0.0000 0.8755
0.9628 0.5000 0.3755
0.2205 0.5000 0.0885
0.2205 0.0000 0.5885
```

Computed properties:
ΔE_f	-0.562	eV per atom
total DFT energy (no corrections)	-7.779	eV per atom
space-group type	No. 8
crystal system	monoclinic
polymorph energy (0 for the lowest one)	0.0	kJ per mole of atoms

***

Record 9
Compound: VTcNiP2
Source: Alexandria via LeMat-Bulk
Functional: PBE
Structure: optimized geometry

Structure (POSCAR):
```
VTcNiP2
1.0
4.9293 0.0000 -0.0031
0.0000 3.4294 0.0000
-2.1307 0.0000 8.0746
Ni Tc P V
2 2 4 2
direct
0.7810 0.5000 0.6443
0.7810 0.0000 0.1443
0.5583 0.5000 0.3151
0.5583 0.0000 0.8151
0.0549 0.0000 0.7489
0.0549 0.5000 0.2489
0.5134 0.5000 0.0074
0.5134 0.0000 0.5074
0.2280 0.0000 0.0636
0.2280 0.5000 0.5636
```

Computed properties:
ΔE_f	-0.440	eV per atom
total DFT energy (no corrections)	-7.657	eV per atom
space-group type	No. 8
crystal system	monoclinic
polymorph energy (0 for the lowest one)	11.7	kJ per mole of atoms

***

Record 10
Compound: VTcNiP2
Source: Alexandria via LeMat-Bulk
Functional: PBE
Structure: optimized geometry

Structure (POSCAR):
```
VTcNiP2
1.0
5.3518 0.0000 -0.0007
0.0000 4.9804 0.0000
-5.2059 0.0000 5.4011
Tc V P Ni
2 2 4 2
direct
0.5285 0.0000 0.4962
0.5285 0.5000 0.9962
0.5330 0.5000 0.6956
0.5330 0.0000 0.1956
0.0225 0.2511 0.8433
0.0225 0.7489 0.8433
0.0225 0.2489 0.3433
0.0225 0.7511 0.3433
0.8649 0.5000 0.5128
0.8649 0.0000 0.0128
```

Computed properties:
ΔE_f	-0.299	eV per atom
total DFT energy (no corrections)	-7.516	eV per atom
space-group type	No. 8
crystal system	monoclinic
polymorph energy (0 for the lowest one)	25.3	kJ per mole of atoms

***

Record 11
Compound: VTcNiP2
Source: Alexandria via LeMat-Bulk
Functional: PBE
Structure: optimized geometry

Structure (POSCAR):
```
VTcNiP2
1.0
3.7178 0.0000 0.0000
-1.8589 3.2197 0.0000
0.0000 0.0000 17.4802
Ni P V Tc
3 6 3 3
direct
0.6667 0.3333 0.8859
0.0000 0.0000 0.5525
0.3333 0.6667 0.2192
0.6667 0.3333 0.5304
0.0000 0.0000 0.1971
0.3333 0.6667 0.7040
0.0000 0.0000 0.0373
0.6667 0.3333 0.3706
0.3333 0.6667 0.8638
0.6667 0.3333 0.1155
0.3333 0.6667 0.4489
0.0000 0.0000 0.7822
0.6667 0.3333 0.6658
0.3333 0.6667 0.9991
0.0000 0.0000 0.3324
```

Computed properties:
ΔE_f	-0.453	eV per atom
total DFT energy (no corrections)	-7.670	eV per atom
space-group type	No. 160
crystal system	trigonal
polymorph energy (0 for the lowest one)	10.5	kJ per mole of atoms

***

Record 12
Compound: Y2TcNi3P4
Source: Alexandria via LeMat-Bulk
Functional: PBE
Structure: optimized geometry

Structure (POSCAR):
```
Y2TcNi3P4
1.0
3.9987 0.0000 0.0000
0.0000 3.9987 0.0000
0.0000 0.0000 9.3120
P Y Tc Ni
4 2 1 3
direct
0.0000 0.5000 0.3612
0.5000 0.0000 0.6388
0.5000 0.5000 0.0000
0.0000 0.0000 0.0000
0.0000 0.5000 0.7644
0.5000 0.0000 0.2356
0.5000 0.5000 0.5000
0.5000 0.0000 0.8839
0.0000 0.0000 0.5000
0.0000 0.5000 0.1161
```

Computed properties:
ΔE_f	-0.951	eV per atom
total DFT energy (no corrections)	-7.179	eV per atom
space-group type	No. 115
crystal system	tetragonal

***

Record 13
Compound: NiTeP2
Source: Alexandria via LeMat-Bulk
Functional: PBE
Structure: optimized geometry

Structure (POSCAR):
```
NiTeP2
1.0
5.7819 -0.0155 0.0447
2.9542 4.9702 -0.0447
-3.7029 -3.6502 2.5293
P Ni Te
2 1 1
direct
0.9286 0.9286 0.0000
0.5714 0.5714 0.0000
0.7500 0.2500 0.5000
0.2500 0.7500 0.5000
```

Computed properties:
total DFT energy (no corrections)	-4.581	eV per atom
space-group type	No. 71
crystal system	orthorhombic
uncorrected formation energy	1.42	eV/f.u.

***

Record 14
Compound: NiTe2P
Source: Alexandria via LeMat-Bulk
Functional: PBE
Structure: optimized geometry

Structure (POSCAR):
```
NiTe2P
1.0
-2.5429 2.2605 1.2136
2.5316 -1.0373 2.3588
4.2340 5.8270 -1.9817
Ni Te P
1 2 1
direct
0.5000 0.5000 0.5000
0.0000 0.0000 0.7327
0.0000 0.0000 0.2673
0.5000 0.5000 0.0000
```

Computed properties:
total DFT energy (no corrections)	-3.876	eV per atom
space-group type	No. 65
crystal system	orthorhombic
uncorrected formation energy	1.97	eV/f.u.

***

Record 15
Compound: NiTe2P
Source: Alexandria via LeMat-Bulk
Functional: PBE
Structure: optimized geometry

Structure (POSCAR):
```
NiTe2P
1.0
3.8616 0.0000 0.0000
0.0000 3.8616 0.0000
0.0000 0.0000 5.5221
Ni Te P
1 2 1
direct
0.0000 0.0000 0.3752
0.0000 0.0000 0.8751
0.5000 0.5000 0.3749
0.5000 0.5000 0.8749
```

Computed properties:
total DFT energy (no corrections)	-4.262	eV per atom
space-group type	No. 123
crystal system	tetragonal
uncorrected formation energy	0.43	eV/f.u.

***

Record 16
Compound: NiTeP2
Source: Alexandria via LeMat-Bulk
Functional: PBE
Structure: optimized geometry

Structure (POSCAR):
```
NiTeP2
1.0
-0.4791 -1.2862 -5.2981
-2.1861 -2.7122 0.8561
-2.8267 2.1912 -0.2763
Ni P Te
1 2 1
direct
0.5000 0.0000 0.5000
0.0000 0.5000 0.5000
0.0000 0.0000 0.0000
0.5000 0.5000 0.0000
```

Computed properties:
total DFT energy (no corrections)	-4.343	eV per atom
space-group type	No. 123
crystal system	tetragonal
uncorrected formation energy	2.37	eV/f.u.

***

Record 17
Compound: Ni2TeP2
Source: Alexandria via LeMat-Bulk
Functional: PBE
Structure: optimized geometry

Structure (POSCAR):
```
Ni2TeP2
1.0
-3.8670 -0.8108 -1.0507
-0.6779 -1.5760 3.7111
-3.5393 2.8974 2.8359
Ni P Te
2 2 1
direct
0.2500 0.7500 0.5000
0.7500 0.2500 0.5000
0.3729 0.3729 0.2541
0.6271 0.6271 0.7459
0.0000 0.0000 0.0000
```

Computed properties:
total DFT energy (no corrections)	-5.107	eV per atom
space-group type	No. 139
crystal system	tetragonal
uncorrected formation energy	-0.01	eV/f.u.
polymorph energy (0 for the lowest one)	0.0	kJ per mole of atoms

***

Record 18
Compound: NiTeP2
Source: Alexandria via LeMat-Bulk
Functional: PBE
Structure: optimized geometry

Structure (POSCAR):
```
NiTeP2
1.0
-3.8361 2.4781 0.2248
-0.4878 -0.3439 -4.5333
-1.7048 -2.6741 0.3863
Ni P Te
1 2 1
direct
0.0000 0.5000 0.5000
0.5000 0.5000 0.0000
0.0000 0.0000 0.0000
0.5000 0.0000 0.5000
```

Computed properties:
total DFT energy (no corrections)	-4.250	eV per atom
space-group type	No. 123
crystal system	tetragonal
uncorrected formation energy	2.74	eV/f.u.

***

Record 19
Compound: NiTeP2
Source: Alexandria via LeMat-Bulk
Functional: PBE
Structure: optimized geometry

Structure (POSCAR):
```
NiTeP2
1.0
3.6046 0.0223 -0.0227
1.8262 3.1079 -0.0227
1.7719 1.0213 6.0337
P Ni Te
2 1 1
direct
0.7308 0.7308 0.7969
0.9978 0.9978 0.0141
0.2617 0.2617 0.2145
0.5097 0.5097 0.4746
```

Computed properties:
total DFT energy (no corrections)	-4.853	eV per atom
space-group type	No. 8
crystal system	monoclinic
uncorrected formation energy	0.33	eV/f.u.

***

Record 20
Compound: NiTe2P
Source: Alexandria via LeMat-Bulk
Functional: PBE
Structure: optimized geometry

Structure (POSCAR):
```
NiTe2P
1.0
2.6132 -4.3189 0.0000
2.6132 4.3189 0.0000
0.0000 0.0000 3.6489
Ni P Te
1 1 2
direct
0.4793 0.5207 0.0000
0.3192 0.6808 0.5000
0.0073 0.9927 0.0000
0.6952 0.3048 0.5000
```

Computed properties:
total DFT energy (no corrections)	-4.349	eV per atom
space-group type	No. 38
crystal system	orthorhombic
uncorrected formation energy	0.08	eV/f.u.

***

Fermi-level density of states values, unit states/eV per cell, following the record order: 8.55 10.25 5.14 5.49 2.32 2.40 5.58 9.37 6.10 3.56 11.07 3.50 2.40 3.03 2.12 4.35 2.97 2.54 1.88 2.87.